Compound: KCaW2
Source: the Alexandria database
Functional: GGA-PBE
Structure: optimized geometry

Geometry as POSCAR:
```
KCaW2
1.0
3.883 0.000 0.000
0.000 3.883 0.000
0.000 0.000 5.627
K Ca W
1 1 2
direct
0.000 0.000 0.000
0.500 0.500 0.000
0.000 0.500 0.500
0.500 0.000 0.500
```

Summary:
**ΔE to the lowest computed polymorph**: 501.5 meV/atom
**Symmetry**: P4/mmm, No. 123
**Formation energy**: 1424 meV/atom